# Ac3Ga6Pt5

A relaxed Ac3Ga6Pt5 crystal (PBE, Alexandria via LeMat-Bulk).

POSCAR file:
```
Ac3Ga6Pt5
1.0
4.355 0.000 0.000
0.000 10.549 0.000
0.000 0.000 13.048
Ac Ga Pt
6 12 10
direct
0.000 0.249 0.338
0.000 0.255 0.000
0.500 0.751 0.838
0.500 0.745 0.500
0.500 0.751 0.162
0.000 0.249 0.662
0.000 0.006 0.828
0.500 0.994 0.328
0.000 0.990 0.500
0.000 0.590 0.308
0.500 0.517 0.000
0.500 0.410 0.192
0.500 0.994 0.672
0.500 0.010 0.000
0.000 0.590 0.692
0.000 0.006 0.172
0.000 0.483 0.500
0.500 0.410 0.808
0.000 0.885 0.000
0.500 0.476 0.387
0.000 0.850 0.331
0.000 0.524 0.887
0.500 0.150 0.169
0.000 0.850 0.669
0.500 0.150 0.831
0.500 0.115 0.500
0.500 0.476 0.613
0.000 0.524 0.113
```

Computed properties:
**Total magnetic moment**: 0.000 μB/cell
**Formation enthalpy at 0 K**: -12.6 eV per formula unit
**SG**: Pmmn, No. 59